A | Crystalline Tl2CdCu at its relaxed geometry. Source: Alexandria via LeMat-Bulk, functional PBEsol.

The structure in extended XYZ format:
```
4
Lattice="-2.332 2.332 4.018 2.332 -2.332 4.018 2.332 2.332 -4.018" Properties=species:S:1:pos:R:3 pbc="T T T"
Tl 2.332 0.000 2.009
Tl 0.000 2.332 2.009
Cd 0.000 0.000 0.000
Cu 0.000 0.000 4.018
```

Output
Total magnetic moment = 0.000 μB/atom
Space group = No. 139

***

B | Crystalline Tl2CdCu at its relaxed geometry. Source: Alexandria via LeMat-Bulk, functional PBEsol.

The structure in extended XYZ format:
```
4
Lattice="3.626 0.000 0.000 0.000 4.049 0.000 -1.046 0.000 6.070" Properties=species:S:1:pos:R:3 pbc="T T T"
Tl 0.077 0.000 1.626
Tl 2.504 0.000 4.444
Cd 1.813 2.025 0.000
Cu 1.290 2.025 3.035
```

Output
Total magnetic moment = 0.000 μB/atom
Space group = No. 10

***

Quick one: most stable of them? B

***

A | Crystalline LiSe2Cl at its relaxed geometry. Source: Alexandria via LeMat-Bulk, functional PBEsol.

The structure in extended XYZ format:
```
4
Lattice="5.052 0.000 0.000 0.000 5.052 0.000 0.000 0.000 2.920" Properties=species:S:1:pos:R:3 pbc="T T T"
Li 0.000 0.000 0.000
Se 0.000 2.526 1.460
Se 2.526 0.000 1.460
Cl 2.526 2.526 0.000
```

Output
Total magnetic moment = 0.000 μB/atom
Space group = No. 123

***

B | Crystalline LiSe2Cl at its relaxed geometry. Source: Alexandria via LeMat-Bulk, functional PBEsol.

The structure in extended XYZ format:
```
4
Lattice="1.436 0.829 11.030 -1.436 0.829 11.030 0.000 -1.658 11.030" Properties=species:S:1:pos:R:3 pbc="T T T"
Li 0.000 0.000 0.000
Se 0.000 0.000 8.961
Se 0.000 0.000 24.128
Cl 0.000 0.000 16.544
```

Output
Total magnetic moment = 0.000 μB/atom
Space group = No. 166

***

Quick one: most stable of them? B